PmTcGe2Rh | GGA-PBE | optimized geometry

Unit cell a=5.8878 b=5.8878 c=5.8878 alpha=137.12 beta=137.12 gamma=62.25
Closest atoms and distances in Å follow each position.
Atoms (fractional coordinates):
Pm: 0.0000 0.0000 0.0000  4 Tc 3.31, 4 Rh 3.31, 8 Ge 3.31
Tc: 0.7500 0.2500 0.5000  4 Ge 2.47
Ge: 0.3697 0.3697 0.0000  2 Tc 2.47, 2 Rh 2.47, 1 Ge 2.63
Ge: 0.6303 0.6303 0.0000  2 Tc 2.47, 2 Rh 2.47, 1 Ge 2.63
Rh: 0.2500 0.7500 0.5000  4 Ge 2.47

* energy: -7.03 eV/atom
* spin magnetization: 0.000 Bohr magnetons per cell
* calculated formation energy: -688 meV per atom



La7Pr12Nd | GGA-PBE | optimized geometry

Unit cell a=9.1377 b=9.1377 c=9.1377 alpha=99.56 beta=99.56 gamma=99.56
Closest atoms and distances in Å follow each position.
Atoms (fractional coordinates):
La: 0.0000 0.0000 0.0000  12 Pr 3.60-3.72
La: 0.1574 0.5910 0.5910  1 La 3.11
La: 0.4090 0.4090 0.8426  1 La 3.11
La: 0.4090 0.8426 0.4090  1 La 3.11
La: 0.5910 0.1574 0.5910  1 La 3.11
La: 0.5910 0.5910 0.1574  1 La 3.11
La: 0.8426 0.4090 0.4090  1 La 3.11
Pr: 0.0000 0.2583 0.7417  6 Pr 3.56-3.68, 5 La 3.60-3.72
Pr: 0.0000 0.7417 0.2583  6 Pr 3.56-3.68, 5 La 3.60-3.72
Pr: 0.1474 0.1474 0.4124  6 Pr 3.56-3.70, 3 La 3.72-3.96
Pr: 0.1474 0.4124 0.1474  6 Pr 3.56-3.70, 3 La 3.72-3.96
Pr: 0.2583 0.0000 0.7417  6 Pr 3.56-3.68, 5 La 3.60-3.72
Pr: 0.2583 0.7417 0.0000  6 Pr 3.56-3.68, 5 La 3.60-3.72
Pr: 0.4124 0.1474 0.1474  6 Pr 3.56-3.70, 3 La 3.72-3.96
Pr: 0.5876 0.8526 0.8526  6 Pr 3.56-3.70, 3 La 3.72-3.96
Pr: 0.7417 0.0000 0.2583  6 Pr 3.56-3.68, 5 La 3.60-3.72
Pr: 0.7417 0.2583 0.0000  6 Pr 3.56-3.68, 5 La 3.60-3.72
Pr: 0.8526 0.5876 0.8526  6 Pr 3.56-3.70, 3 La 3.72-3.96
Pr: 0.8526 0.8526 0.5876  6 Pr 3.56-3.70, 3 La 3.72-3.96
Nd: 0.5000 0.5000 0.5000  6 La 3.56

* energy: -4.76 eV/atom
* offset from the most stable computed form: 0.0 meV/atom
* spin magnetization: 0.000 Bohr magnetons per cell
* calculated formation energy: 71 meV per atom



BaAl2Sb | GGA-PBE | optimized geometry

Unit cell a=6.8006 b=6.8006 c=6.8006 alpha=142.17 beta=141.28 gamma=55.24
Closest atoms and distances in Å follow each position.
Atoms (fractional coordinates):
Ba: 0.0000 0.0000 0.0000  8 Al 3.48-3.85, 4 Sb 3.61-3.89
Al: 0.6217 0.6217 0.0000  2 Al 2.76, 2 Sb 2.85
Al: 0.7592 0.2592 0.5000  2 Al 2.76
Sb: 0.2659 0.7659 0.5000  6 Al 2.85-3.15

* energy: -3.58 eV/atom
* spin magnetization: 0.000 Bohr magnetons per cell
* energy relative to the elements, uncorrected: -0.201 eV/atom



Sc2HgSe | GGA-PBE | optimized geometry

Unit cell a=3.9809 b=3.9809 c=5.7042 alpha=90.00 beta=90.00 gamma=90.00
Closest atoms and distances in Å follow each position.
Atoms (fractional coordinates):
Sc: 0.0000 0.0000 0.0000  4 Se 2.81, 2 Hg 2.85
Sc: 0.5000 0.5000 0.5000  4 Hg 2.81, 2 Se 2.85
Hg: 0.0000 0.0000 0.5000  6 Sc 2.81-2.85
Se: 0.5000 0.5000 0.0000  6 Sc 2.81-2.85

* energy: -4.98 eV/atom
* offset from the most stable computed form: 112.4 meV/atom
* spin magnetization: 0.000 Bohr magnetons per cell
* energy relative to the elements, uncorrected: -0.863 eV/atom



AcNdO2 | GGA-PBE | optimized geometry

Unit cell a=6.5314 b=6.5314 c=6.5314 alpha=32.58 beta=32.58 gamma=32.58
Closest atoms and distances in Å follow each position.
Atoms (fractional coordinates):
Ac: 0.0000 0.0000 0.0000  6 O 2.77
Nd: 0.5000 0.5000 0.5000  6 O 2.48
O: 0.2368 0.2368 0.2368  3 Nd 2.48, 3 Ac 2.77
O: 0.7632 0.7632 0.7632  3 Nd 2.48, 3 Ac 2.77

* energy: -7.35 eV/atom
* offset from the most stable computed form: 0.0 meV/atom
* spin magnetization: 0.000 Bohr magnetons per cell
* energy relative to the elements, uncorrected: -2.651 eV/atom



Ta2TcGe4 | GGA-PBE | optimized geometry

Unit cell a=7.7042 b=7.7042 c=5.2943 alpha=108.21 beta=108.21 gamma=24.31
Closest atoms and distances in Å follow each position.
Atoms (fractional coordinates):
Ta: 0.2402 0.2402 0.2340  6 Ge 2.68-2.76
Ta: 0.7598 0.7598 0.7660  6 Ge 2.68-2.76
Tc: 0.0000 0.0000 0.0000  6 Ge 2.47-2.51
Ge: 0.1119 0.1119 0.7471  1 Tc 2.47, 3 Ta 2.68-2.73, 2 Ge 2.75
Ge: 0.3952 0.3952 0.6776  2 Tc 2.51, 3 Ta 2.73-2.76, 2 Ge 2.75
Ge: 0.6048 0.6048 0.3224  2 Tc 2.51, 3 Ta 2.73-2.76, 2 Ge 2.75
Ge: 0.8881 0.8881 0.2529  1 Tc 2.47, 3 Ta 2.68-2.73, 2 Ge 2.75

* energy: -7.53 eV/atom
* spin magnetization: 0.000 Bohr magnetons per cell
* calculated formation energy: -22 meV per atom



LaP2Au2 | GGA-PBE | optimized geometry

Unit cell a=7.7504 b=7.7504 c=3.4484 alpha=90.00 beta=90.00 gamma=90.00
Closest atoms and distances in Å follow each position.
Atoms (fractional coordinates):
La: 0.0000 0.0000 0.0000  4 Au 3.08, 8 P 3.27, 2 La 3.45
La: 0.5000 0.5000 0.0000  4 Au 3.08, 8 P 3.27, 2 La 3.45
P: 0.2063 0.2937 0.5000  2 Au 2.56
P: 0.2937 0.7937 0.5000  2 Au 2.56
P: 0.7063 0.2063 0.5000  2 Au 2.56
P: 0.7937 0.7063 0.5000  2 Au 2.56
Au: 0.1211 0.6211 0.0000  2 P 2.56, 1 Au 2.65
Au: 0.3789 0.1211 0.0000  2 P 2.56, 1 Au 2.65
Au: 0.6211 0.8789 0.0000  2 P 2.56, 1 Au 2.65
Au: 0.8789 0.3789 0.0000  2 P 2.56, 1 Au 2.65

* energy: -4.74 eV/atom
* spin magnetization: 0.000 Bohr magnetons per cell
* calculated formation energy: -284 meV per atom



Pu4ScS5 | GGA-PBE | optimized geometry

Unit cell a=14.0521 b=14.0521 c=14.0521 alpha=164.01 beta=164.01 gamma=22.69
Closest atoms and distances in Å follow each position.
Atoms (fractional coordinates):
Pu: 0.0980 0.0980 0.0000  6 S 2.70-2.83
Pu: 0.3016 0.3016 0.0000  6 S 2.76-2.84
Pu: 0.6984 0.6984 0.0000  6 S 2.76-2.84
Pu: 0.9020 0.9020 0.0000  6 S 2.70-2.83
Sc: 0.5000 0.5000 0.0000  6 S 2.63-2.76
S: 0.0000 0.0000 0.0000  2 Pu 2.70, 4 Sc 2.76
S: 0.2008 0.2008 0.0000  6 Pu 2.76-2.83
S: 0.4047 0.4047 0.0000  1 Sc 2.63, 5 Pu 2.77-2.84
S: 0.5953 0.5953 0.0000  1 Sc 2.63, 5 Pu 2.77-2.84
S: 0.7992 0.7992 0.0000  6 Pu 2.76-2.83

* energy: -10.20 eV/atom
* spin magnetization: 0.223 Bohr magnetons per cell
* energy relative to the elements, uncorrected: -1.767 eV/atom



Pr2HoPu | GGA-PBE | optimized geometry

Unit cell a=11.8216 b=11.8216 c=11.8216 alpha=17.60 beta=17.60 gamma=17.60
Closest atoms and distances in Å follow each position.
Atoms (fractional coordinates):
Pr: 0.0000 0.0000 0.0000  3 Pu 3.57, 3 Ho 3.60, 6 Pr 3.62
Pr: 0.1680 0.1680 0.1680  3 Pu 3.55, 3 Ho 3.60, 6 Pr 3.62
Ho: 0.7507 0.7507 0.7507  6 Pr 3.60, 6 Ho 3.62
Pu: 0.5837 0.5837 0.5837  6 Pr 3.55-3.57, 6 Pu 3.62

* energy: -6.99 eV/atom
* offset from the most stable computed form: 10.4 meV/atom
* spin magnetization: 6.143 Bohr magnetons per cell
* calculated formation energy: 130 meV per atom



Number 1: volume 93 Å³/cell. Number 2: volume 727 Å³/cell. Number 3: volume 120 Å³/cell. Number 4: volume 90 Å³/cell. Number 5: volume 72 Å³/cell. Number 6: volume 123 Å³/cell. Number 7: volume 207 Å³/cell. Number 8: volume 211 Å³/cell. Number 9: volume 132 Å³/cell.